(1)
VASP calculation (GGA-PBE) on a geometry-optimized LaFePS2 structure.

Lattice parameters (Å, degrees): 5.414 5.414 5.571 90.00 90.00 90.00
Site moments in Bohr magnetons follow the coordinates.
Fractional positions:
La (0.000, 0.000, 0.000)  0.06
Fe (0.500, 0.500, 0.500)  3.39
S (0.000, 0.500, 0.000)  0.18
S (0.500, 0.000, 0.000)  0.18
P (0.000, 0.000, 0.500)  0.33

Results
The calculation puts the raw formation energy at 0.649 eV per atom. The value obtained for the energy relative to the lowest polymorph listed for this composition is 1.439 eV/atom. The value obtained for the electronic total energy is -4.762 eV per atom. The density of states at the Fermi level comes out at 1.694 states/eV per atom. The crystal system is tetragonal.

(2)
VASP calculation (GGA-PBE) on a geometry-optimized PmGa2SiPd4 structure.

Lattice parameters (Å, degrees): 4.322 4.322 8.998 76.11 76.11 60.00
Fractional positions:
Pd (0.592, 0.592, 0.223)
Pd (0.138, 0.138, 0.585)
Pd (0.862, 0.862, 0.415)
Pd (0.408, 0.408, 0.777)
Si (0.500, 0.500, 0.500)
Pm (0.000, 0.000, 0.000)
Ga (0.749, 0.749, 0.752)
Ga (0.251, 0.251, 0.248)

Results
The calculation puts the raw formation energy at -0.682 eV per atom. The value obtained for the electronic total energy is -5.307 eV per atom. The density of states at the Fermi level comes out at 0.735 states/eV per atom. The crystal system is trigonal.

(3)
VASP calculation (GGA-PBE) on a geometry-optimized Pa2As3Pd structure.

Lattice parameters (Å, degrees): 5.890 8.213 6.633 108.44 116.36 90.00
Site moments in Bohr magnetons follow the coordinates.
Fractional positions:
Pd (0.824, 0.750, 0.000)  0.00
Pd (0.176, 0.250, 0.000)  0.00
As (0.598, 0.250, 0.000)  -0.01
As (0.402, 0.750, 0.000)  -0.01
As (0.155, 0.572, 0.301)  0.00
As (0.854, 0.928, 0.699)  0.00
As (0.845, 0.428, 0.699)  0.00
As (0.146, 0.072, 0.301)  0.00
Pa (0.333, 0.914, 0.660)  0.11
Pa (0.673, 0.586, 0.340)  0.11
Pa (0.327, 0.414, 0.660)  0.11
Pa (0.667, 0.086, 0.340)  0.11

Results
The value obtained for the electronic total energy is -7.067 eV per atom. The density of states at the Fermi level comes out at 0.824 states/eV per atom. For the formation energy, the calculation gives -0.711 eV per atom. The crystal system is monoclinic.

(4)
VASP calculation (GGA-PBE) on a geometry-optimized Ho4ErMg4 structure.

Lattice parameters (Å, degrees): 6.890 6.890 11.429 90.00 90.00 90.00
Fractional positions:
Er (0.500, 0.500, 0.500)
Er (0.000, 0.000, 0.000)
Ho (0.223, 0.500, 0.932)
Ho (0.500, 0.777, 0.068)
Ho (0.777, 0.500, 0.932)
Ho (0.723, 0.000, 0.568)
Ho (0.000, 0.723, 0.432)
Ho (0.000, 0.277, 0.432)
Ho (0.277, 0.000, 0.568)
Ho (0.500, 0.223, 0.068)
Mg (0.500, 0.773, 0.777)
Mg (0.773, 0.500, 0.223)
Mg (0.727, 0.000, 0.277)
Mg (0.273, 0.000, 0.277)
Mg (0.500, 0.227, 0.777)
Mg (0.000, 0.727, 0.723)
Mg (0.000, 0.273, 0.723)
Mg (0.227, 0.500, 0.223)

Results
The value obtained for the electronic total energy is -2.977 eV per atom. The density of states at the Fermi level comes out at 1.119 states/eV per atom. For the formation energy, the calculation gives 0.273 eV per atom. The crystal system is tetragonal.

(5)
VASP calculation (GGA-PBE) on a geometry-optimized SmMgIn structure.

Lattice parameters (Å, degrees): 4.479 4.685 7.891 107.27 90.00 90.00
Fractional positions:
Sm (0.000, 0.664, 0.328)
Sm (0.000, 0.336, 0.672)
Mg (0.000, 0.000, 0.000)
Mg (0.500, 0.500, 0.000)
In (0.500, 0.153, 0.307)
In (0.500, 0.847, 0.693)

Results
The value obtained for the electronic total energy is -3.342 eV per atom. The density of states at the Fermi level comes out at 0.930 states/eV per atom. For the formation energy, the calculation gives -0.324 eV per atom. The crystal system is orthorhombic.

(6)
VASP calculation (GGA-PBE) on a geometry-optimized Cs2BeAsI6 structure.

Lattice parameters (Å, degrees): 8.039 8.039 8.351 61.23 61.23 90.00
Fractional positions:
I (0.732, 0.268, 0.000)
I (0.268, 0.732, 0.000)
I (0.235, 0.235, 0.529)
I (0.732, 0.732, 0.000)
I (0.268, 0.268, 0.000)
I (0.765, 0.765, 0.471)
Cs (0.250, 0.750, 0.500)
Cs (0.750, 0.250, 0.500)
As (0.000, 0.000, 0.000)
Be (0.500, 0.500, 0.000)

Results
The calculation puts the raw formation energy at -0.640 eV per atom. The value obtained for the electronic total energy is -2.578 eV per atom. The density of states at the Fermi level comes out at 0.337 states/eV per atom. The crystal system is tetragonal.

(7)
VASP calculation (GGA-PBE) on a geometry-optimized Rb2CuHCl6 structure.

Lattice parameters (Å, degrees): 7.549 7.549 7.012 57.43 57.43 90.00
Fractional positions:
Cl (0.671, 0.671, 0.658)
Cl (0.794, 0.206, 0.000)
Cl (0.329, 0.329, 0.342)
Cl (0.794, 0.794, 0.000)
Cl (0.206, 0.206, 0.000)
Cl (0.206, 0.794, 0.000)
H (0.500, 0.500, 0.000)
Rb (0.250, 0.750, 0.500)
Rb (0.750, 0.250, 0.500)
Cu (0.000, 0.000, 0.000)

Results
The value obtained for the energy relative to the lowest polymorph listed for this composition is 0.009 eV/atom. The value obtained for the electronic total energy is -3.101 eV per atom. The density of states at the Fermi level comes out at 0.000 states/eV per atom. The crystal system is tetragonal.

(8)
VASP calculation (GGA-PBE) on a geometry-optimized TlFeNi structure.

Lattice parameters (Å, degrees): 4.292 4.292 2.933 90.00 90.00 120.00
Site moments in Bohr magnetons follow the coordinates.
Fractional positions:
Fe (0.000, 0.000, 0.077)  2.75
Ni (0.333, 0.667, 0.278)  0.49
Tl (0.667, 0.333, 0.645)  -0.04

Results
The value obtained for the energy relative to the lowest polymorph listed for this composition is 0.099 eV/atom. The value obtained for the electronic total energy is -5.045 eV per atom. The density of states at the Fermi level comes out at 0.916 states/eV per atom. For the formation energy, the calculation gives 0.492 eV per atom. The crystal system is trigonal.